Entry A
# TbDyMgNi

Crystalline TbDyMgNi at its relaxed geometry (PBE, the Alexandria database).

Computed properties:
Crystal system: tetragonal
DOS at the Fermi energy, states/eV/atom: 0.562

a = 3.451 Å, b = 3.451 Å, c = 7.907 Å
α = 90.00°, β = 90.00°, γ = 90.00°
Space group P4mm (No. 99)
One atom of each set of equivalent atoms:
Tb1 0.000 0.000 0.000 (multiplicity 1)
Dy1 0.000 0.000 0.594 (multiplicity 1)
Mg1 0.500 0.500 0.298 (multiplicity 1)
Ni1 0.500 0.500 0.795 (multiplicity 1)

---

Entry B
# TbDyMgNi

Crystalline TbDyMgNi at its relaxed geometry (PBE, the Alexandria database).

Computed properties:
Crystal system: cubic
DOS at the Fermi energy, states/eV/atom: 0.750

a = 7.155 Å, b = 7.155 Å, c = 7.155 Å
α = 90.00°, β = 90.00°, γ = 90.00°
Space group F-43m (No. 216)
One atom of each set of equivalent atoms:
Tb1 0.000 0.000 0.000 (multiplicity 4)
Dy1 0.000 0.000 0.500 (multiplicity 4)
Mg1 0.250 0.250 0.250 (multiplicity 4)
Ni1 0.250 0.250 0.750 (multiplicity 4)

---

Relative calculated energies, zero for the most stable structure, unit kJ/mol of atoms: entry A 0.0; entry B 12.9.

---

Entry A
# DyTmMgNi

Crystalline DyTmMgNi at its relaxed geometry (PBE, the Alexandria database).

Computed properties:
Crystal system: cubic
DOS at the Fermi energy, states/eV/atom: 0.711

a = 7.088 Å, b = 7.088 Å, c = 7.088 Å
α = 90.00°, β = 90.00°, γ = 90.00°
Space group F-43m (No. 216)
One atom of each set of equivalent atoms:
Dy1 0.000 0.000 0.000 (multiplicity 4)
Tm1 0.000 0.000 0.500 (multiplicity 4)
Mg1 0.250 0.250 0.750 (multiplicity 4)
Ni1 0.250 0.250 0.250 (multiplicity 4)

---

Entry B
# DyTmMgNi

Crystalline DyTmMgNi at its relaxed geometry (PBE, the Alexandria database).

Computed properties:
Crystal system: tetragonal
DOS at the Fermi energy, states/eV/atom: 0.558

a = 3.418 Å, b = 3.418 Å, c = 7.858 Å
α = 90.00°, β = 90.00°, γ = 90.00°
Space group P4mm (No. 99)
One atom of each set of equivalent atoms:
Dy1 0.000 0.000 0.000 (multiplicity 1)
Tm1 0.000 0.000 0.595 (multiplicity 1)
Mg1 0.500 0.500 0.301 (multiplicity 1)
Ni1 0.500 0.500 0.792 (multiplicity 1)

---

Relative calculated energies, zero for the most stable structure, unit kJ/mol of atoms: entry A 13.4; entry B 0.0.

---

Entry A
# DyYMgNi

Crystalline DyYMgNi at its relaxed geometry (PBE, the Alexandria database).

Computed properties:
Crystal system: tetragonal
DOS at the Fermi energy, states/eV/atom: 0.592

a = 3.453 Å, b = 3.453 Å, c = 7.894 Å
α = 90.00°, β = 90.00°, γ = 90.00°
Space group P4mm (No. 99)
One atom of each set of equivalent atoms:
Dy1 0.000 0.000 0.000 (multiplicity 1)
Y1 0.000 0.000 0.593 (multiplicity 1)
Mg1 0.500 0.500 0.296 (multiplicity 1)
Ni1 0.500 0.500 0.801 (multiplicity 1)

---

Entry B
# DyYMgNi

Crystalline DyYMgNi at its relaxed geometry (PBE, the Alexandria database).

Computed properties:
Crystal system: cubic
DOS at the Fermi energy, states/eV/atom: 0.762

a = 7.152 Å, b = 7.152 Å, c = 7.152 Å
α = 90.00°, β = 90.00°, γ = 90.00°
Space group F-43m (No. 216)
One atom of each set of equivalent atoms:
Dy1 0.000 0.000 0.000 (multiplicity 4)
Y1 0.000 0.000 0.500 (multiplicity 4)
Mg1 0.250 0.250 0.250 (multiplicity 4)
Ni1 0.250 0.250 0.750 (multiplicity 4)

---

Relative calculated energies, zero for the most stable structure, unit kJ/mol of atoms: entry A 0.0; entry B 12.5.

---

Entry A
# DyMgScOs

Crystalline DyMgScOs at its relaxed geometry (PBE, the Alexandria database).

Computed properties:
Crystal system: cubic
DOS at the Fermi energy, states/eV/atom: 0.881

a = 6.872 Å, b = 6.872 Å, c = 6.872 Å
α = 90.00°, β = 90.00°, γ = 90.00°
Space group F-43m (No. 216)
One atom of each set of equivalent atoms:
Dy1 0.000 0.000 0.000 (multiplicity 4)
Mg1 0.250 0.250 0.750 (multiplicity 4)
Sc1 0.000 0.000 0.500 (multiplicity 4)
Os1 0.250 0.250 0.250 (multiplicity 4)

---

Entry B
# DyMgScOs

Crystalline DyMgScOs at its relaxed geometry (PBE, the Alexandria database).

Computed properties:
Crystal system: tetragonal
DOS at the Fermi energy, states/eV/atom: 0.542

a = 3.354 Å, b = 3.354 Å, c = 7.848 Å
α = 90.00°, β = 90.00°, γ = 90.00°
Space group P4mm (No. 99)
One atom of each set of equivalent atoms:
Dy1 0.000 0.000 0.000 (multiplicity 1)
Mg1 0.500 0.500 0.319 (multiplicity 1)
Sc1 0.000 0.000 0.595 (multiplicity 1)
Os1 0.500 0.500 0.779 (multiplicity 1)

---

Relative calculated energies, zero for the most stable structure, unit kJ/mol of atoms: entry A 7.2; entry B 0.0.

---

Entry A
# Dy2MgPb3

Crystalline Dy2MgPb3 at its relaxed geometry (PBE, the Alexandria database).

Computed properties:
Crystal system: orthorhombic
DOS at the Fermi energy, states/eV/atom: 0.814

a = 14.134 Å, b = 10.102 Å, c = 5.340 Å
α = 90.00°, β = 90.00°, γ = 90.00°
Space group Cmcm (No. 63)
One atom of each set of equivalent atoms:
Dy1 0.119 0.112 0.250 (multiplicity 8)
Mg1 0.000 0.206 0.750 (multiplicity 4)
Pb1 0.000 0.399 0.250 (multiplicity 4)
Pb2 0.243 0.366 0.250 (multiplicity 8)

---

Entry B
# Dy2MgPb3

Crystalline Dy2MgPb3 at its relaxed geometry (PBE, the Alexandria database).

Computed properties:
Crystal system: orthorhombic
DOS at the Fermi energy, states/eV/atom: 0.545

a = 4.452 Å, b = 15.546 Å, c = 4.708 Å
α = 90.00°, β = 90.00°, γ = 90.00°
Space group Cmmm (No. 65)
One atom of each set of equivalent atoms:
Dy1 0.000 0.154 0.000 (multiplicity 4)
Mg1 0.000 0.000 0.500 (multiplicity 2)
Pb1 0.000 0.331 0.500 (multiplicity 4)
Pb2 0.000 0.500 0.000 (multiplicity 2)

---

Relative calculated energies, zero for the most stable structure, unit kJ/mol of atoms: entry A 28.8; entry B 0.0.

---

Entry A
# DyMgPb3

Crystalline DyMgPb3 at its relaxed geometry (PBE, the Alexandria database).

Computed properties:
Crystal system: orthorhombic
DOS at the Fermi energy, states/eV/atom: 0.711

a = 4.841 Å, b = 6.581 Å, c = 9.461 Å
α = 90.00°, β = 90.00°, γ = 90.00°
Space group Pmmn (No. 59, origin choice 2)
One atom of each set of equivalent atoms:
Dy1 0.250 0.250 0.102 (multiplicity 2)
Mg1 0.250 0.750 0.433 (multiplicity 2)
Pb1 0.250 0.505 0.713 (multiplicity 4)
Pb2 0.250 0.750 0.110 (multiplicity 2)

---

Entry B
# DyMgPb3

Crystalline DyMgPb3 at its relaxed geometry (PBE, the Alexandria database).

Computed properties:
Crystal system: monoclinic
DOS at the Fermi energy, states/eV/atom: 0.469

a = 6.485 Å, b = 13.415 Å, c = 6.400 Å
α = 90.00°, β = 90.10°, γ = 90.00°
Space group P2/c (No. 13)
One atom of each set of equivalent atoms:
Dy1 0.250 0.192 0.000 (multiplicity 4)
Mg1 0.000 0.382 0.250 (multiplicity 2)
Mg2 0.500 0.382 0.250 (multiplicity 2)
Pb1 0.000 0.001 0.250 (multiplicity 2)
Pb2 0.250 0.224 0.505 (multiplicity 4)
Pb3 0.250 0.423 0.815 (multiplicity 4)
Pb4 0.500 0.001 0.250 (multiplicity 2)

---

Relative calculated energies, zero for the most stable structure, unit kJ/mol of atoms: entry A 14.6; entry B 0.0.